(1)
DFT (PBE-GGA) results for Cu2PdBr4 after structural relaxation.

Calculated values
Energy relative to the elements, uncorrected, meV/atom: -194.3
Space group: No. 111
Relative energy among the computed polymorphs, meV/atom: 82
Density, g/cm³: 4.8

a b c (Å): 5.632 5.632 5.985
angles (deg): 90.00 90.00 90.00
Positions (direct):
Cu  0.000  0.500  0.000
Cu  0.500  0.000  0.000
Pd  0.000  0.000  0.500
Br  0.256  0.256  0.765
Br  0.256  0.744  0.235
Br  0.744  0.256  0.235
Br  0.744  0.744  0.765

---

(2)
DFT (PBE-GGA) results for SrPa4Os3N12 after structural relaxation.

Calculated values
Energy relative to the elements, uncorrected, meV/atom: -496.8
Space group: No. 204
Density, g/cm³: 10.4

a b c (Å): 7.143 7.143 7.143
angles (deg): 109.47 109.47 109.47
Positions (direct):
Sr  0.000  0.000  0.000
Pa  0.000  0.000  0.500
Pa  0.000  0.500  0.000
Pa  0.500  0.000  0.000
Pa  0.500  0.500  0.500
Os  0.000  0.500  0.500
Os  0.500  0.000  0.500
Os  0.500  0.500  0.000
N  0.160  0.322  0.481
N  0.160  0.678  0.838
N  0.162  0.840  0.322
N  0.322  0.162  0.840
N  0.322  0.481  0.160
N  0.481  0.160  0.322
N  0.519  0.840  0.678
N  0.678  0.519  0.840
N  0.678  0.838  0.160
N  0.838  0.160  0.678
N  0.840  0.322  0.162
N  0.840  0.678  0.519

---

(3)
DFT (PBE-GGA) results for BaCd2Bi2 after structural relaxation.

Calculated values
DFT formation energy, eV/atom: -0.206
Space group: No. 127
Density, g/cm³: 8.0

a b c (Å): 9.159 9.159 3.855
angles (deg): 90.00 90.00 90.00
Positions (direct):
Ba  0.000  0.000  0.000
Ba  0.500  0.500  0.000
Cd  0.151  0.349  0.500
Cd  0.349  0.849  0.500
Cd  0.651  0.151  0.500
Cd  0.849  0.651  0.500
Bi  0.142  0.642  0.000
Bi  0.358  0.142  0.000
Bi  0.642  0.858  0.000
Bi  0.858  0.358  0.000

---

(4)
DFT (PBE-GGA) results for RbBi3Sb3 after structural relaxation.

Calculated values
Energy relative to the elements, uncorrected, meV/atom: 56.6
Space group: No. 223
Density, g/cm³: 5.4

a b c (Å): 8.743 8.743 8.743
angles (deg): 90.00 90.00 90.00
Positions (direct):
Rb  0.000  0.000  0.000
Rb  0.500  0.500  0.500
Bi  0.000  0.250  0.500
Bi  0.000  0.750  0.500
Bi  0.250  0.500  0.000
Bi  0.500  0.000  0.250
Bi  0.500  0.000  0.750
Bi  0.750  0.500  0.000
Sb  0.000  0.500  0.250
Sb  0.000  0.500  0.750
Sb  0.250  0.000  0.500
Sb  0.500  0.250  0.000
Sb  0.500  0.750  0.000
Sb  0.750  0.000  0.500

---

(5)
DFT (PBE-GGA) results for La2Tc after structural relaxation.

Calculated values
DFT formation energy, eV/atom: 0.261
Space group: No. 164
Relative energy among the computed polymorphs, meV/atom: 226
Density, g/cm³: 6.7

a b c (Å): 3.748 3.748 15.266
angles (deg): 90.00 90.00 120.00
Positions (direct):
La  0.333  0.667  0.312
La  0.333  0.667  0.903
La  0.667  0.333  0.097
La  0.667  0.333  0.688
Tc  0.333  0.667  0.535
Tc  0.667  0.333  0.465

---

(6)
DFT (PBE-GGA) results for CeTmPa2Sb4 after structural relaxation.

Calculated values
Energy relative to the elements, uncorrected, meV/atom: -725.7
Space group: No. 10
Density, g/cm³: 8.7

a b c (Å): 7.587 4.375 7.644
angles (deg): 90.00 109.25 90.00
Positions (direct):
Ce  0.000  0.000  0.000
Tm  0.500  0.500  0.000
Pa  0.000  0.500  0.500
Pa  0.500  0.000  0.500
Sb  0.255  0.000  0.751
Sb  0.256  0.500  0.252
Sb  0.744  0.500  0.748
Sb  0.745  0.000  0.249

---

(7)
DFT (PBE-GGA) results for PrY2Cd after structural relaxation.

Calculated values
DFT formation energy, eV/atom: -0.069
Space group: No. 160
Relative energy among the computed polymorphs, meV/atom: 93
Density, g/cm³: 5.7

a b c (Å): 11.097 11.097 11.097
angles (deg): 18.95 18.95 18.95
Positions (direct):
Pr  0.000  0.000  0.000
Y  0.242  0.242  0.242
Y  0.425  0.425  0.425
Cd  0.834  0.834  0.834

---

(8)
DFT (PBE-GGA) results for HgPbO after structural relaxation.

Calculated values
Energy relative to the elements, uncorrected, meV/atom: -744.0
Space group: No. 11
Relative energy among the computed polymorphs, meV/atom: 0
Density, g/cm³: 8.9

a b c (Å): 4.036 4.109 9.538
angles (deg): 90.00 90.09 90.00
Positions (direct):
Hg  0.250  0.250  0.098
Hg  0.750  0.750  0.902
Pb  0.251  0.250  0.624
Pb  0.749  0.750  0.376
O  0.250  0.750  0.502
O  0.750  0.250  0.498